## a
RbHfBe: relaxed, PBE.

M_tot (μB per formula unit): 0.00

Unit cell a=4.847 b=4.847 c=4.847 alpha=60.00 beta=60.00 gamma=60.00
Fractional coordinates of all 3 atoms:
Be: 0.250 0.250 0.250
Hf: 0.750 0.750 0.750
Rb: 0.000 0.000 0.000


## b
RbHfBe: relaxed, PBE.

M_tot (μB per formula unit): 0.70

Unit cell a=4.923 b=4.923 c=4.923 alpha=60.00 beta=60.00 gamma=60.00
Fractional coordinates of all 3 atoms:
Hf: 0.250 0.250 0.250
Be: 0.000 0.000 0.000
Rb: 0.750 0.750 0.750


Most stable: b (next structure +0.651 eV/atom)


## a
HfBeReSb: relaxed, PBE.

M_tot (μB per formula unit): 0.00

Unit cell a=4.539 b=4.539 c=4.539 alpha=60.00 beta=60.00 gamma=60.00
Fractional coordinates of all 4 atoms:
Be: 0.750 0.750 0.750
Sb: 0.250 0.250 0.250
Re: 0.500 0.500 0.500
Hf: 0.000 0.000 0.000


## b
HfBeReSb: relaxed, PBE.

M_tot (μB per formula unit): 0.00

Unit cell a=4.567 b=4.567 c=4.567 alpha=60.00 beta=60.00 gamma=60.00
Fractional coordinates of all 4 atoms:
Sb: 0.000 0.000 0.000
Hf: 0.250 0.250 0.250
Re: 0.500 0.500 0.500
Be: 0.750 0.750 0.750


Most stable: a (next structure +0.144 eV/atom)


## a
HfTaBeRe: relaxed, PBE.

M_tot (μB per formula unit): 0.00

Unit cell a=4.502 b=4.502 c=4.502 alpha=60.00 beta=60.00 gamma=60.00
Fractional coordinates of all 4 atoms:
Ta: 0.000 0.000 0.000
Hf: 0.500 0.500 0.500
Re: 0.250 0.250 0.250
Be: 0.750 0.750 0.750


## b
HfTaBeRe: relaxed, PBE.

M_tot (μB per formula unit): 0.01

Unit cell a=4.471 b=4.471 c=4.471 alpha=60.00 beta=60.00 gamma=60.00
Fractional coordinates of all 4 atoms:
Ta: 0.250 0.250 0.250
Be: 0.750 0.750 0.750
Re: 0.500 0.500 0.500
Hf: 0.000 0.000 0.000


Most stable: a (next structure +0.156 eV/atom)


## a
SrHfBe: relaxed, PBE.

M_tot (μB per formula unit): 0.01

Unit cell a=4.800 b=4.800 c=4.800 alpha=60.00 beta=60.00 gamma=60.00
Fractional coordinates of all 3 atoms:
Sr: 0.000 0.000 0.000
Be: 0.250 0.250 0.250
Hf: 0.750 0.750 0.750


## b
SrHfBe: relaxed, PBE.

M_tot (μB per formula unit): 0.00

Unit cell a=4.778 b=4.778 c=4.778 alpha=60.00 beta=60.00 gamma=60.00
Fractional coordinates of all 3 atoms:
Be: 0.000 0.000 0.000
Hf: 0.250 0.250 0.250
Sr: 0.750 0.750 0.750


Most stable: b (next structure +0.846 eV/atom)


## a
HfBeTc: relaxed, PBE.

M_tot (μB per formula unit): 0.00

Unit cell a=4.215 b=4.215 c=4.215 alpha=60.00 beta=60.00 gamma=60.00
Fractional coordinates of all 3 atoms:
Be: 0.500 0.500 0.500
Tc: 0.250 0.250 0.250
Hf: 0.000 0.000 0.000


## b
HfBeTc: relaxed, PBE.

M_tot (μB per formula unit): 0.00

Unit cell a=4.266 b=4.266 c=4.266 alpha=60.00 beta=60.00 gamma=60.00
Fractional coordinates of all 3 atoms:
Be: 0.250 0.250 0.250
Tc: 0.750 0.750 0.750
Hf: 0.000 0.000 0.000


Most stable: a (next structure +0.442 eV/atom)


## a
HfBeTl: relaxed, PBE.

M_tot (μB per formula unit): 0.00

Unit cell a=4.306 b=4.306 c=4.306 alpha=60.00 beta=60.00 gamma=60.00
Fractional coordinates of all 3 atoms:
Be: 0.000 0.000 0.000
Hf: 0.250 0.250 0.250
Tl: 0.750 0.750 0.750


## b
HfBeTl: relaxed, PBE.

M_tot (μB per formula unit): 0.00

Unit cell a=4.577 b=4.577 c=4.577 alpha=60.00 beta=60.00 gamma=60.00
Fractional coordinates of all 3 atoms:
Hf: 0.000 0.000 0.000
Be: 0.250 0.250 0.250
Tl: 0.750 0.750 0.750


Most stable: a (next structure +0.514 eV/atom)


## a
KBeHg: relaxed, PBE.

Unit cell a=5.117 b=5.117 c=5.117 alpha=60.00 beta=60.00 gamma=60.00
Fractional coordinates of all 3 atoms:
Be: 0.250 0.250 0.250
Hg: 0.000 0.000 0.000
K: 0.750 0.750 0.750


## b
KBeHg: relaxed, PBE.

Unit cell a=4.970 b=4.970 c=4.970 alpha=60.00 beta=60.00 gamma=60.00
Fractional coordinates of all 3 atoms:
Be: 0.000 0.000 0.000
K: 0.750 0.750 0.750
Hg: 0.250 0.250 0.250


Most stable: b (next structure +0.063 eV/atom)


## a
BeHgMoOs: relaxed, PBE.

M_tot (μB per formula unit): 0.40

Unit cell a=4.388 b=4.388 c=4.388 alpha=60.00 beta=60.00 gamma=60.00
Fractional coordinates of all 4 atoms:
Mo: 0.500 0.500 0.500
Be: 0.750 0.750 0.750
Hg: 0.250 0.250 0.250
Os: 0.000 0.000 0.000


## b
BeHgMoOs: relaxed, PBE.

M_tot (μB per formula unit): 0.00

Unit cell a=4.407 b=4.407 c=4.407 alpha=60.00 beta=60.00 gamma=60.00
Fractional coordinates of all 4 atoms:
Mo: 0.500 0.500 0.500
Be: 0.750 0.750 0.750
Hg: 0.000 0.000 0.000
Os: 0.250 0.250 0.250


Most stable: b (next structure +0.248 eV/atom)


## a
BeHgNO: relaxed, PBE.

Unit cell a=4.672 b=5.185 c=7.029 alpha=90.00 beta=90.00 gamma=90.00
Fractional coordinates of all 16 atoms:
O: 0.146 0.876 0.456
O: 0.646 0.624 0.456
O: 0.646 0.124 0.544
O: 0.146 0.376 0.544
Hg: 0.528 0.470 0.156
Hg: 0.028 0.030 0.156
Hg: 0.528 0.970 0.844
Hg: 0.028 0.530 0.844
Be: 0.493 0.903 0.418
Be: 0.493 0.403 0.582
Be: 0.993 0.597 0.418
Be: 0.993 0.097 0.582
N: 0.035 0.493 0.175
N: 0.535 0.507 0.825
N: 0.035 0.993 0.825
N: 0.535 0.007 0.175


## b
BeHgNO: relaxed, PBE.

Unit cell a=3.200 b=3.200 c=9.272 alpha=90.00 beta=90.00 gamma=90.00
Fractional coordinates of all 8 atoms:
Hg: 0.250 0.250 0.195
Hg: 0.750 0.750 0.805
O: 0.750 0.250 0.000
O: 0.250 0.750 0.000
Be: 0.750 0.250 0.500
Be: 0.250 0.750 0.500
N: 0.250 0.250 0.419
N: 0.750 0.750 0.581


## c
BeHgNO: relaxed, PBE.

Unit cell a=3.833 b=3.833 c=6.520 alpha=90.00 beta=90.00 gamma=90.00
Fractional coordinates of all 8 atoms:
Be: 0.750 0.750 0.042
Be: 0.250 0.250 0.958
Hg: 0.750 0.250 0.500
Hg: 0.250 0.750 0.500
N: 0.250 0.250 0.699
N: 0.750 0.750 0.301
O: 0.250 0.750 0.000
O: 0.750 0.250 0.000


## d
BeHgNO: relaxed, PBE.

Unit cell a=3.117 b=4.926 c=5.863 alpha=90.00 beta=90.00 gamma=90.00
Fractional coordinates of all 8 atoms:
Hg: 0.000 0.975 0.675
Hg: 0.000 0.475 0.325
N: 0.000 0.459 0.698
N: 0.000 0.959 0.302
Be: 0.500 0.004 0.154
Be: 0.500 0.504 0.846
O: 0.500 0.316 0.067
O: 0.500 0.816 0.933


Most stable: a (next structure +0.079 eV/atom)


## a
BeHgNO: relaxed, PBE.

Unit cell a=4.229 b=4.229 c=5.040 alpha=90.24 beta=90.24 gamma=86.28
Fractional coordinates of all 8 atoms:
O: 0.627 0.128 0.339
O: 0.128 0.627 0.339
Hg: 0.864 0.364 0.994
Hg: 0.364 0.864 0.994
N: 0.130 0.130 0.667
N: 0.629 0.629 0.666
Be: 0.379 0.379 0.500
Be: 0.879 0.879 0.500


## b
BeHgNO: relaxed, PBE.

Unit cell a=4.865 b=5.359 c=6.845 alpha=90.00 beta=90.00 gamma=90.00
Fractional coordinates of all 16 atoms:
Hg: 0.531 0.472 0.663
Hg: 0.031 0.528 0.337
Hg: 0.531 0.972 0.337
Hg: 0.031 0.028 0.663
N: 0.137 0.385 0.055
N: 0.637 0.115 0.055
N: 0.637 0.615 0.945
N: 0.137 0.885 0.945
O: 0.541 0.505 0.332
O: 0.541 0.005 0.668
O: 0.041 0.494 0.668
O: 0.041 0.994 0.332
Be: 0.493 0.908 0.901
Be: 0.993 0.092 0.099
Be: 0.993 0.592 0.901
Be: 0.493 0.408 0.099


## c
BeHgNO: relaxed, PBE.

Unit cell a=2.866 b=5.392 c=5.881 alpha=90.00 beta=90.00 gamma=90.00
Fractional coordinates of all 8 atoms:
O: 0.500 0.942 0.788
O: 0.500 0.442 0.212
Be: 0.000 0.504 0.345
Be: 0.000 0.004 0.655
N: 0.000 0.321 0.586
N: 0.000 0.821 0.414
Hg: 0.500 0.987 0.172
Hg: 0.500 0.487 0.828


Most stable: c (next structure +0.010 eV/atom)


## a
BeNiHgPb: relaxed, PBE.

M_tot (μB per formula unit): 0.00

Unit cell a=4.633 b=4.633 c=4.633 alpha=60.00 beta=60.00 gamma=60.00
Fractional coordinates of all 4 atoms:
Hg: 0.500 0.500 0.500
Be: 0.750 0.750 0.750
Ni: 0.250 0.250 0.250
Pb: 0.000 0.000 0.000


## b
BeNiHgPb: relaxed, PBE.

M_tot (μB per formula unit): 0.00

Unit cell a=4.715 b=4.715 c=4.715 alpha=60.00 beta=60.00 gamma=60.00
Fractional coordinates of all 4 atoms:
Ni: 0.500 0.500 0.500
Pb: 0.250 0.250 0.250
Hg: 0.000 0.000 0.000
Be: 0.750 0.750 0.750


Most stable: a (next structure +0.139 eV/atom)


## a
BeNiHgSb: relaxed, PBE.

M_tot (μB per formula unit): 0.00

Unit cell a=4.574 b=4.574 c=4.574 alpha=60.00 beta=60.00 gamma=60.00
Fractional coordinates of all 4 atoms:
Hg: 0.500 0.500 0.500
Be: 0.250 0.250 0.250
Ni: 0.750 0.750 0.750
Sb: 0.000 0.000 0.000


## b
BeNiHgSb: relaxed, PBE.

M_tot (μB per formula unit): 0.00

Unit cell a=4.639 b=4.639 c=4.639 alpha=60.00 beta=60.00 gamma=60.00
Fractional coordinates of all 4 atoms:
Ni: 0.750 0.750 0.750
Sb: 0.000 0.000 0.000
Be: 0.500 0.500 0.500
Hg: 0.250 0.250 0.250


Most stable: a (next structure +0.167 eV/atom)